# NdCdBi, optimized geometry, DFT PBE
# * V: 182 Å³/cell
# * formation energy from the elements: -34.4 kJ per mole of atoms
data_NdCdBi
_chemical_formula_sum 'Nd2 Cd2 Bi2'
_cell_length_a 4.334
_cell_length_b 4.334
_cell_length_c 9.674
_cell_angle_alpha 90.00
_cell_angle_beta 90.00
_cell_angle_gamma 90.00
_space_group_name_H-M_alt 'I 4 m m'
_space_group_IT_number 107
_space_group_name_Hall 'I 4 -2'
loop_
_atom_site_label
_atom_site_type_symbol
_atom_site_fract_x
_atom_site_fract_y
_atom_site_fract_z
Nd1 Nd 0.000 0.000 0.000
Cd1 Cd 0.000 0.000 0.330
Bi1 Bi 0.000 0.000 0.656

# VH2N2, optimized geometry, DFT PBE
# * V: 58 Å³/cell
# * uncorrected energy: -57.62 eV/cell
data_VH2N2
_chemical_formula_sum 'V2 H4 N4'
_cell_length_a 4.501
_cell_length_b 4.501
_cell_length_c 2.886
_cell_angle_alpha 90.00
_cell_angle_beta 90.00
_cell_angle_gamma 90.00
_space_group_name_H-M_alt 'P 4/m b m'
_space_group_IT_number 127
_space_group_name_Hall '-P 4 2ab'
loop_
_atom_site_label
_atom_site_type_symbol
_atom_site_fract_x
_atom_site_fract_y
_atom_site_fract_z
V1 V 0.000 0.000 0.000
H1 H 0.156 0.344 0.000
N1 N 0.110 0.610 0.500

# Sc2PtC, optimized geometry, DFT PBE
# * V: 282 Å³/cell
# * formation energy from the elements: 42.1 kJ per mole of atoms
data_Sc2PtC
_chemical_formula_sum 'Sc6 Pt3 C3'
_cell_length_a 3.8829
_cell_length_b 3.8829
_cell_length_c 21.6282
_cell_angle_alpha 90.00
_cell_angle_beta 90.00
_cell_angle_gamma 120.00
_space_group_name_H-M_alt 'R -3 m'
_space_group_IT_number 166
_space_group_name_Hall '-R 3 2"'
loop_
_atom_site_label
_atom_site_type_symbol
_atom_site_fract_x
_atom_site_fract_y
_atom_site_fract_z
Sc1 Sc 0.0000 0.0000 0.0969
Pt1 Pt 0.0000 0.0000 0.5000
C1 C 0.0000 0.0000 0.0000

# YPuCo2, optimized geometry, DFT PBE
# * V: 308 Å³/cell
# * formation energy from the elements: -6.4 kJ per mole of atoms
data_YPuCo2
_chemical_formula_sum 'Y4 Pu4 Co8'
_cell_length_a 7.676
_cell_length_b 4.003
_cell_length_c 10.029
_cell_angle_alpha 90.00
_cell_angle_beta 90.00
_cell_angle_gamma 90.00
_space_group_name_H-M_alt 'P n m a'
_space_group_IT_number 62
_space_group_name_Hall '-P 2ac 2n'
loop_
_atom_site_label
_atom_site_type_symbol
_atom_site_fract_x
_atom_site_fract_y
_atom_site_fract_z
Y1 Y 0.110 0.250 0.124
Pu1 Pu 0.027 0.250 0.621
Co1 Co 0.197 0.250 0.824
Co2 Co 0.234 0.250 0.428

# Y3HgC, optimized geometry, DFT PBE
# * V: 241 Å³/cell
# * formation energy from the elements: -29.2 kJ per mole of atoms
data_Y3HgC
_chemical_formula_sum 'Y6 Hg2 C2'
_cell_length_a 6.034
_cell_length_b 6.418
_cell_length_c 6.873
_cell_angle_alpha 69.82
_cell_angle_beta 84.68
_cell_angle_gamma 74.73
_space_group_name_H-M_alt 'P 1'
_space_group_IT_number 1
_space_group_name_Hall 'P 1'
loop_
_atom_site_label
_atom_site_type_symbol
_atom_site_fract_x
_atom_site_fract_y
_atom_site_fract_z
Y1 Y 0.000 0.000 0.000
Y2 Y 0.067 0.026 0.504
Y3 Y 0.330 0.425 0.884
Y4 Y 0.429 0.397 0.387
Y5 Y 0.560 0.909 0.807
Y6 Y 0.874 0.535 0.592
Hg1 Hg 0.520 0.916 0.274
Hg2 Hg 0.873 0.491 0.138
C1 C 0.211 0.226 0.692
C2 C 0.988 0.751 0.807

# TcP2Se, optimized geometry, DFT PBE
# * V: 129 Å³/cell
# * ΔE_f (raw): 27.7 kJ per mole of atoms
data_TcP2Se
_chemical_formula_sum 'Tc2 P4 Se2'
_cell_length_a 5.073
_cell_length_b 7.123
_cell_length_c 4.357
_cell_angle_alpha 90.00
_cell_angle_beta 125.17
_cell_angle_gamma 90.00
_space_group_name_H-M_alt 'C 1 2/m 1'
_space_group_IT_number 12
_space_group_name_Hall '-C 2y'
loop_
_atom_site_label
_atom_site_type_symbol
_atom_site_fract_x
_atom_site_fract_y
_atom_site_fract_z
Tc1 Tc 0.000 0.000 0.000
P1 P 0.250 0.250 0.500
Se1 Se 0.000 0.500 0.000

# MgHgOs2, optimized geometry, DFT PBE
# * V: 67 Å³/cell
# * formation energy from the elements: 55.1 kJ per mole of atoms
data_MgHgOs2
_chemical_formula_sum 'Mg1 Hg1 Os2'
_cell_length_a 2.833
_cell_length_b 4.789
_cell_length_c 4.927
_cell_angle_alpha 90.00
_cell_angle_beta 90.50
_cell_angle_gamma 90.00
_space_group_name_H-M_alt 'P 1 2/m 1'
_space_group_IT_number 10
_space_group_name_Hall '-P 2y'
loop_
_atom_site_label
_atom_site_type_symbol
_atom_site_fract_x
_atom_site_fract_y
_atom_site_fract_z
Mg1 Mg 0.000 0.000 0.000
Hg1 Hg 0.500 0.000 0.500
Os1 Os 0.270 0.500 0.778

# NaTa2FeSe, optimized geometry, DFT PBE
# * V: 102 Å³/cell
# * ΔE_f (raw): 243.3 kJ per mole of atoms
data_NaTa2FeSe
_chemical_formula_sum 'Na1 Ta2 Fe1 Se1'
_cell_length_a 4.731
_cell_length_b 4.731
_cell_length_c 4.536
_cell_angle_alpha 90.00
_cell_angle_beta 90.00
_cell_angle_gamma 90.00
_space_group_name_H-M_alt 'P 4/m m m'
_space_group_IT_number 123
_space_group_name_Hall '-P 4 2'
loop_
_atom_site_label
_atom_site_type_symbol
_atom_site_fract_x
_atom_site_fract_y
_atom_site_fract_z
Na1 Na 0.000 0.000 0.000
Ta1 Ta 0.000 0.500 0.000
Fe1 Fe 0.500 0.500 0.500
Se1 Se 0.000 0.000 0.500

# Tc3NiSe, optimized geometry, DFT PBE
# * V: 90 Å³/cell
# * ΔE_f (raw): 148.1 kJ per mole of atoms
data_Tc3NiSe
_chemical_formula_sum 'Tc3 Ni1 Se1'
_cell_length_a 4.479
_cell_length_b 4.479
_cell_length_c 4.479
_cell_angle_alpha 90.00
_cell_angle_beta 90.00
_cell_angle_gamma 90.00
_space_group_name_H-M_alt 'P m -3 m'
_space_group_IT_number 221
_space_group_name_Hall '-P 4 2 3'
loop_
_atom_site_label
_atom_site_type_symbol
_atom_site_fract_x
_atom_site_fract_y
_atom_site_fract_z
Tc1 Tc 0.000 0.000 0.500
Ni1 Ni 0.000 0.000 0.000
Se1 Se 0.500 0.500 0.500

# Tm3U2Tc4, optimized geometry, DFT PBE
# * V: 394 Å³/cell
# * formation energy from the elements: -17.4 kJ per mole of atoms
data_Tm3U2Tc4
_chemical_formula_sum 'Tm6 U4 Tc8'
_cell_length_a 10.688
_cell_length_b 4.254
_cell_length_c 8.798
_cell_angle_alpha 90.00
_cell_angle_beta 100.23
_cell_angle_gamma 90.00
_space_group_name_H-M_alt 'C 1 2/m 1'
_space_group_IT_number 12
_space_group_name_Hall '-C 2y'
loop_
_atom_site_label
_atom_site_type_symbol
_atom_site_fract_x
_atom_site_fract_y
_atom_site_fract_z
Tm1 Tm 0.000 0.000 0.000
Tm2 Tm 0.125 0.500 0.388
U1 U 0.175 0.500 0.777
Tc1 Tc 0.089 0.000 0.638
Tc2 Tc 0.224 0.500 0.097

# PmDyY2Th, optimized geometry, DFT PBE
# * V: 346 Å³/cell
# * formation energy from the elements: 32.2 kJ per mole of atoms
data_PmDyY2Th
_chemical_formula_sum 'Pm2 Dy2 Y4 Th2'
_cell_length_a 8.619
_cell_length_b 6.436
_cell_length_c 6.305
_cell_angle_alpha 90.00
_cell_angle_beta 97.93
_cell_angle_gamma 90.00
_space_group_name_H-M_alt 'P 1 2/c 1'
_space_group_IT_number 13
_space_group_name_Hall '-P 2yc'
loop_
_atom_site_label
_atom_site_type_symbol
_atom_site_fract_x
_atom_site_fract_y
_atom_site_fract_z
Pm1 Pm 0.000 0.000 0.000
Dy1 Dy 0.500 0.175 0.250
Y1 Y 0.314 0.311 0.708
Th1 Th 0.000 0.448 0.250

# HoPuHgRh, optimized geometry, DFT PBE
# * V: 367 Å³/cell
# * formation energy from the elements: -34.7 kJ per mole of atoms
data_HoPuHgRh
_chemical_formula_sum 'Ho4 Pu4 Hg4 Rh4'
_cell_length_a 7.162
_cell_length_b 7.162
_cell_length_c 7.162
_cell_angle_alpha 90.00
_cell_angle_beta 90.00
_cell_angle_gamma 90.00
_space_group_name_H-M_alt 'F -4 3 m'
_space_group_IT_number 216
_space_group_name_Hall 'F -4 2 3'
loop_
_atom_site_label
_atom_site_type_symbol
_atom_site_fract_x
_atom_site_fract_y
_atom_site_fract_z
Ho1 Ho 0.000 0.000 0.000
Pu1 Pu 0.000 0.000 0.500
Hg1 Hg 0.250 0.250 0.250
Rh1 Rh 0.250 0.250 0.750

# CsZnBiTe3, optimized geometry, DFT PBE
# * V: 488 Å³/cell
# * ΔE_f (raw): -56.1 kJ per mole of atoms
data_CsZnBiTe3
_chemical_formula_sum 'Cs2 Zn2 Bi2 Te6'
_cell_length_a 10.573
_cell_length_b 4.516
_cell_length_c 10.901
_cell_angle_alpha 90.00
_cell_angle_beta 110.25
_cell_angle_gamma 90.00
_space_group_name_H-M_alt 'P 1 21/m 1'
_space_group_IT_number 11
_space_group_name_Hall '-P 2yb'
loop_
_atom_site_label
_atom_site_type_symbol
_atom_site_fract_x
_atom_site_fract_y
_atom_site_fract_z
Cs1 Cs 0.204 0.250 0.245
Zn1 Zn 0.082 0.250 0.608
Bi1 Bi 0.334 0.750 0.868
Te1 Te 0.124 0.250 0.864
Te2 Te 0.190 0.750 0.539
Te3 Te 0.467 0.750 0.161

# Li2FeSi, optimized geometry, DFT PBE
# * V: 107 Å³/cell
# * ΔE_f (raw): 12.1 kJ per mole of atoms
data_Li2FeSi
_chemical_formula_sum 'Li4 Fe2 Si2'
_cell_length_a 2.954
_cell_length_b 4.127
_cell_length_c 8.778
_cell_angle_alpha 90.00
_cell_angle_beta 90.00
_cell_angle_gamma 90.00
_space_group_name_H-M_alt 'C m m m'
_space_group_IT_number 65
_space_group_name_Hall '-C 2 2'
loop_
_atom_site_label
_atom_site_type_symbol
_atom_site_fract_x
_atom_site_fract_y
_atom_site_fract_z
Li1 Li 0.000 0.000 0.243
Fe1 Fe 0.000 0.500 0.500
Si1 Si 0.000 0.500 0.000

# CuTe2P, optimized geometry, DFT PBE
# * V: 175 Å³/cell
# * ΔE_f (raw): 14.3 kJ per mole of atoms
data_CuTe2P
_chemical_formula_sum 'Cu2 Te4 P2'
_cell_length_a 6.884
_cell_length_b 3.976
_cell_length_c 6.829
_cell_angle_alpha 90.00
_cell_angle_beta 110.14
_cell_angle_gamma 90.00
_space_group_name_H-M_alt 'C 1 2/m 1'
_space_group_IT_number 12
_space_group_name_Hall '-C 2y'
loop_
_atom_site_label
_atom_site_type_symbol
_atom_site_fract_x
_atom_site_fract_y
_atom_site_fract_z
Cu1 Cu 0.000 0.000 0.000
Te1 Te 0.246 0.500 0.241
P1 P 0.000 0.500 0.500

# Ho3Tl3Cd2, optimized geometry, DFT PBE
# * V: 426 Å³/cell
# * formation energy from the elements: -15.4 kJ per mole of atoms
data_Ho3Tl3Cd2
_chemical_formula_sum 'Ho6 Tl6 Cd4'
_cell_length_a 8.9782
_cell_length_b 8.9782
_cell_length_c 6.1058
_cell_angle_alpha 90.00
_cell_angle_beta 90.00
_cell_angle_gamma 120.00
_space_group_name_H-M_alt 'P 63/m c m'
_space_group_IT_number 193
_space_group_name_Hall '-P 6c 2'
loop_
_atom_site_label
_atom_site_type_symbol
_atom_site_fract_x
_atom_site_fract_y
_atom_site_fract_z
Ho1 Ho 0.0000 0.2431 0.2500
Tl1 Tl 0.0000 0.3939 0.7500
Cd1 Cd 0.3333 0.6667 0.0000

# SrSiPt2, optimized geometry, DFT PBE
# * V: 419 Å³/cell
# * ΔE_f (raw): -68.3 kJ per mole of atoms
data_SrSiPt2
_chemical_formula_sum 'Sr4 Si4 Pt8'
_cell_length_a 5.193
_cell_length_b 5.193
_cell_length_c 15.542
_cell_angle_alpha 90.00
_cell_angle_beta 90.00
_cell_angle_gamma 90.00
_space_group_name_H-M_alt 'I -4 2 d'
_space_group_IT_number 122
_space_group_name_Hall 'I -4 2bw'
loop_
_atom_site_label
_atom_site_type_symbol
_atom_site_fract_x
_atom_site_fract_y
_atom_site_fract_z
Sr1 Sr 0.000 0.000 0.000
Si1 Si 0.000 0.000 0.500
Pt1 Pt 0.030 0.250 0.625

# Dy6MgNi2, optimized geometry, DFT PBE
# * V: 916 Å³/cell
# * formation energy from the elements: -21.6 kJ per mole of atoms
data_Dy6MgNi2
_chemical_formula_sum 'Dy24 Mg4 Ni8'
_cell_length_a 9.293
_cell_length_b 9.659
_cell_length_c 10.210
_cell_angle_alpha 90.00
_cell_angle_beta 90.00
_cell_angle_gamma 90.00
_space_group_name_H-M_alt 'I m m m'
_space_group_IT_number 71
_space_group_name_Hall '-I 2 2'
loop_
_atom_site_label
_atom_site_type_symbol
_atom_site_fract_x
_atom_site_fract_y
_atom_site_fract_z
Dy1 Dy 0.000 0.201 0.234
Dy2 Dy 0.191 0.500 0.180
Dy3 Dy 0.209 0.316 0.500
Mg1 Mg 0.000 0.000 0.000
Mg2 Mg 0.000 0.000 0.500
Ni1 Ni 0.000 0.344 0.000
Ni2 Ni 0.000 0.500 0.379

# Cs2Na2H4Pt, optimized geometry, DFT PBE
# * V: 457 Å³/cell
# * uncorrected energy: -51.26 eV/cell
data_Cs2Na2H4Pt
_chemical_formula_sum 'Cs4 Na4 H8 Pt2'
_cell_length_a 7.346
_cell_length_b 7.346
_cell_length_c 8.460
_cell_angle_alpha 90.00
_cell_angle_beta 90.00
_cell_angle_gamma 90.00
_space_group_name_H-M_alt 'I 4/m m m'
_space_group_IT_number 139
_space_group_name_Hall '-I 4 2'
loop_
_atom_site_label
_atom_site_type_symbol
_atom_site_fract_x
_atom_site_fract_y
_atom_site_fract_z
Cs1 Cs 0.000 0.500 0.250
Na1 Na 0.000 0.000 0.177
H1 H 0.161 0.161 0.500
Pt1 Pt 0.000 0.000 0.500

# DyTm2N3, optimized geometry, DFT PBE
# * V: 342 Å³/cell
# * ΔE_f (raw): -172.0 kJ per mole of atoms
data_DyTm2N3
_chemical_formula_sum 'Dy4 Tm8 N12'
_cell_length_a 6.855
_cell_length_b 4.846
_cell_length_c 10.283
_cell_angle_alpha 90.00
_cell_angle_beta 90.00
_cell_angle_gamma 90.00
_space_group_name_H-M_alt 'P n m a'
_space_group_IT_number 62
_space_group_name_Hall '-P 2ac 2n'
loop_
_atom_site_label
_atom_site_type_symbol
_atom_site_fract_x
_atom_site_fract_y
_atom_site_fract_z
Dy1 Dy 0.126 0.250 0.084
Tm1 Tm 0.124 0.250 0.417
Tm2 Tm 0.125 0.250 0.750
N1 N 0.122 0.750 0.415
N2 N 0.125 0.750 0.751
N3 N 0.128 0.750 0.084